Material: UCrTeO6
Method: DFT, PBE with a Hubbard U
State: optimized geometry

Results
space-group type: P-31c, No. 163
final energy: -68.9 eV/f.u.

POSCAR file:
```
UCrTeO6
1.0
5.571 0.000 0.000
-2.786 4.825 0.000
0.000 0.000 8.828
U Cr Te O
2 2 2 12
Cartesian
2.786 1.608 2.207 U
0.000 3.217 6.621 U
0.000 0.000 0.000 Cr
0.000 0.000 4.414 Cr
0.000 3.217 2.207 Te
2.786 1.608 6.621 Te
1.919 3.241 1.104 O
4.633 1.543 1.104 O
-0.981 4.784 5.518 O
-1.848 3.282 7.723 O
0.938 1.543 3.310 O
3.653 3.241 3.310 O
0.981 4.784 7.723 O
3.766 0.041 3.310 O
-0.867 1.584 5.518 O
1.805 0.041 1.104 O
1.848 3.282 5.518 O
0.867 1.584 7.723 O
```